# Zr2Pt3Rh3 PBE relaxed
data_Zr2Pt3Rh3
_chemical_formula_sum 'Zr2 Pt3 Rh3'
_space_group_name_H-M_alt 'P m m m'
_space_group_IT_number 47
_cell_length_a 4.005
_cell_length_b 4.045
_cell_length_c 7.925
_cell_angle_alpha 90.00
_cell_angle_beta 90.00
_cell_angle_gamma 90.00
loop_
_space_group_symop_operation_xyz
'x,y,z'
'-x,-y,-z'
'-x,-y,z'
'x,y,-z'
'x,-y,-z'
'-x,y,z'
'-x,y,-z'
'x,-y,z'
loop_
_atom_site_label
_atom_site_type_symbol
_atom_site_fract_x
_atom_site_fract_y
_atom_site_fract_z
Zr1 Zr 0.000 0.000 0.246
Pt1 Pt 0.000 0.500 0.500
Pt2 Pt 0.500 0.500 0.249
Rh1 Rh 0.000 0.500 0.000
Rh2 Rh 0.500 0.000 0.000
Rh3 Rh 0.500 0.000 0.500
# * energy of formation from the pure elements: -0.90 eV per atom
# * VASP energy: -8.06 eV/atom